# Th2Tl3Te6Au

An optimized crystal structure of Th2Tl3Te6Au (PBE, Alexandria via LeMat-Bulk).

Output
Space-group type   C2/m, No. 12
Spin magnetization   0.00 Bohr magnetons per cell
Calculated total energy   -52.37 eV per cell

a = 8.033 Å, b = 8.033 Å, c = 8.500 Å
α = 97.51°, β = 97.51°, γ = 123.40°
Fractional positions:
Th: 0.332 0.668 0.000
Th: 0.668 0.332 0.000
Tl: 0.155 0.845 0.500
Tl: 0.845 0.155 0.500
Tl: 0.500 0.500 0.500
Te: 0.928 0.554 0.763
Te: 0.758 0.758 0.182
Te: 0.072 0.446 0.237
Te: 0.554 0.928 0.763
Te: 0.242 0.242 0.818
Te: 0.446 0.072 0.237
Au: 0.000 0.000 0.000